Entry 1:
The following is a DFT calculation (PBE) of crystalline Ca3HgAu3 at its relaxed geometry.

Cell: 3.9493 4.4795 20.5670 Å, 90.00 90.00 90.00°
Last column: nearest neighbours and their distance in Å.
Space group Imm2 (No. 44)
Symmetry-distinct sites (fractional):
1 Ca 0.0000 0.0000 0.0000 (multiplicity 2)  7 Au 3.06-3.14
2 Ca 0.0000 0.0000 0.3810 (multiplicity 2)  5 Au 3.06-3.12, 2 Hg 3.24
3 Ca 0.0000 0.5000 0.1702 (multiplicity 2)  6 Au 3.17-3.45, 4 Hg 3.47
4 Hg 0.0000 0.5000 0.7558 (multiplicity 2)  3 Au 2.82-2.93
5 Au 0.0000 0.0000 0.5326 (multiplicity 2)  2 Au 2.85, 5 Ca 3.06-3.12
6 Au 0.0000 0.0000 0.8479 (multiplicity 2)  2 Hg 2.93, 5 Ca 3.06-3.13
7 Au 0.0000 0.5000 0.6186 (multiplicity 2)  1 Hg 2.82, 2 Au 2.85, 2 Ca 3.14

Calculated values
Energy relative to the elements, kJ per mole of atoms: -68
Volume, Å³/f.u.: 182
Energy above the most stable polymorph in this dataset, kJ/mol of formula units: 0.0

=====

Entry 2:
The following is a DFT calculation (PBE) of crystalline Ca2HgAu16 at its relaxed geometry.

Cell: 9.7225 9.7225 14.2349 Å, 90.00 90.00 120.00°
Last column: nearest neighbours and their distance in Å.
Space group R3m (No. 160, hexagonal axes)
Symmetry-distinct sites (fractional):
1 Ca 0.0000 0.0000 0.0000 (multiplicity 3)  12 Au 3.30-3.50
2 Ca 0.0000 0.0000 0.3092 (multiplicity 3)  10 Au 3.23-3.50
3 Hg 0.0000 0.0000 0.7384 (multiplicity 3)  7 Au 2.88-3.12
4 Au 0.0000 0.0000 0.5364 (multiplicity 3)  1 Hg 2.88, 6 Au 2.93-2.97
5 Au 0.0011 0.3223 0.6470 (multiplicity 18)  8 Au 2.84-3.14
6 Au 0.0028 0.5014 0.8070 (multiplicity 9)  9 Au 2.76-2.97
7 Au 0.1673 0.3347 0.4804 (multiplicity 9)  9 Au 2.83-2.93, 1 Hg 2.99
8 Au 0.1717 0.3434 0.8210 (multiplicity 9)  8 Au 2.76-2.93

Calculated values
Energy relative to the elements, kJ per mole of atoms: -24
Volume, Å³/f.u.: 388

=====

Entry 3:
The following is a DFT calculation (PBE) of crystalline Ca5Hg2Au12 at its relaxed geometry.

Cell: 15.7465 7.5034 7.1576 Å, 90.00 92.68 90.00°
Last column: nearest neighbours and their distance in Å.
Space group C2/m (No. 12)
Symmetry-distinct sites (fractional):
1 Ca 0.0000 0.0000 0.0000 (multiplicity 2)  8 Au 3.03-3.22
2 Ca 0.1895 0.5000 0.5387 (multiplicity 4)  8 Au 3.05-3.24, 2 Hg 3.40
3 Ca 0.2468 0.0000 0.9381 (multiplicity 4)  10 Au 3.00-3.22
4 Hg 0.0000 0.2820 0.5000 (multiplicity 4)  8 Au 2.96-3.13, 1 Hg 3.27
5 Au 0.0582 0.5000 0.1770 (multiplicity 4)  7 Au 2.81-3.06, 2 Hg 3.01
6 Au 0.1086 0.2971 0.8531 (multiplicity 8)  5 Au 2.88-3.04, 1 Hg 2.99, 4 Ca 3.03-3.15
7 Au 0.1249 0.0000 0.6036 (multiplicity 4)  4 Au 2.88-2.94, 2 Hg 2.96, 2 Ca 3.00-3.14
8 Au 0.1513 0.1853 0.2495 (multiplicity 8)  4 Au 2.78-3.00, 1 Ca 3.08

Calculated values
Energy relative to the elements, kJ per mole of atoms: -51
Volume, Å³/f.u.: 422

=====

Entry 4:
The following is a DFT calculation (PBE) of crystalline Ca3HgAu3 at its relaxed geometry.

Cell: 9.0307 9.0307 5.9848 Å, 90.00 90.00 120.00°
Last column: nearest neighbours and their distance in Å.
Space group P6_3/m (No. 176)
Symmetry-distinct sites (fractional):
1 Ca 0.0427 0.3636 0.2500 (multiplicity 6)  5 Au 2.94-3.12, 1 Hg 3.27
2 Hg 0.3333 0.6667 0.7500 (multiplicity 2)  3 Au 2.86
3 Au 0.0279 0.3394 0.7500 (multiplicity 6)  1 Hg 2.86, 5 Ca 2.94-3.12

Calculated values
Energy relative to the elements, kJ per mole of atoms: -53
Volume, Å³/f.u.: 211
Energy above the most stable polymorph in this dataset, kJ/mol of formula units: 106.8

=====

Entry 5:
The following is a DFT calculation (PBE) of crystalline Ca2HgAu at its relaxed geometry.

Cell: 7.4278 10.5067 5.2382 Å, 90.00 90.00 90.00°
Last column: nearest neighbours and their distance in Å.
Space group Cmcm (No. 63)
Symmetry-distinct sites (fractional):
1 Ca 0.2412 0.1250 0.2500 (multiplicity 8)  4 Au 3.17-3.24, 4 Hg 3.20-3.25
2 Hg 0.0000 0.3816 0.2500 (multiplicity 4)  8 Ca 3.20-3.25
3 Au 0.0000 0.1318 0.7500 (multiplicity 4)  8 Ca 3.17-3.24

Calculated values
Energy relative to the elements, kJ per mole of atoms: -63
Volume, Å³/f.u.: 102

=====

Entry 6:
The following is a DFT calculation (PBE) of crystalline Ca4Hg5Au6 at its relaxed geometry.

Cell: 4.0853 23.2012 15.2559 Å, 90.00 90.00 90.00°
Last column: nearest neighbours and their distance in Å.
Space group Cmc2_1 (No. 36)
Symmetry-distinct sites (fractional):
1 Ca 0.0000 0.0294 0.0000 (multiplicity 4)  5 Au 2.99-3.20, 2 Hg 3.31
2 Ca 0.0000 0.0625 0.2705 (multiplicity 4)  6 Au 3.14-3.19, 4 Hg 3.35-3.36
3 Ca 0.0000 0.1236 0.7647 (multiplicity 4)  6 Au 3.07-3.23, 4 Hg 3.39-3.42
4 Ca 0.0000 0.1873 0.4396 (multiplicity 4)  6 Au 2.98-3.22, 4 Hg 3.27
5 Hg 0.0000 0.1913 0.1014 (multiplicity 4)  3 Au 2.95-3.00, 1 Hg 2.99
6 Hg 0.0000 0.3201 0.1069 (multiplicity 4)  3 Au 2.83-2.95, 1 Hg 2.99
7 Hg 0.0000 0.3228 0.7732 (multiplicity 4)  5 Au 2.94-3.26, 2 Ca 3.27
8 Hg 0.0000 0.3650 0.4412 (multiplicity 4)  4 Au 2.87-2.91
9 Hg 0.0000 0.4753 0.1569 (multiplicity 4)  4 Au 2.86-2.89
10 Au 0.0000 0.0914 0.5693 (multiplicity 4)  4 Hg 2.89-2.95, 2 Au 2.97, 3 Ca 2.98-3.07
11 Au 0.0000 0.2203 0.9132 (multiplicity 4)  4 Hg 2.88-3.20, 2 Au 2.90, 3 Ca 2.99-3.19
12 Au 0.0000 0.2739 0.2789 (multiplicity 4)  3 Hg 2.83-3.04, 2 Au 2.90, 3 Ca 3.14-3.17
13 Au 0.0000 0.4024 0.6235 (multiplicity 4)  5 Hg 2.88-3.00, 4 Ca 3.14-3.20
14 Au 0.0000 0.4195 0.9286 (multiplicity 4)  3 Au 2.85-2.97, 2 Ca 3.19
15 Au 0.0000 0.4708 0.3439 (multiplicity 4)  1 Au 2.85, 2 Hg 2.86-2.87, 4 Ca 3.14-3.16

Calculated values
Energy relative to the elements, kJ per mole of atoms: -48
Volume, Å³/f.u.: 362

=====

no.,E (eV/atom)
1,-3.01
2,-3.23
3,-3.16
4,-2.85
5,-2.55
6,-2.44